Record 1
## SmTm6Th3 (PBE)

Data for a geometry-optimized SmTm6Th3 structure.

Output
- Calculated formation energy: 0.377 eV/atom
- Symmetry: R3
- Calculated density: 9.42 g cm⁻³
- Energy above the lowest structure with this stoichiometry: 296.9 meV per atom

Lattice parameters (Å, degrees): 9.788 9.788 6.897 44.80 44.80 60.00
Fractional coordinates of all 10 atoms:
Th 0.350 0.350 0.951
Tm 0.598 0.266 0.204
Th 0.098 0.098 0.706
Th 0.601 0.601 0.196
Tm 0.266 0.932 0.204
Tm 0.932 0.598 0.204
Tm 0.434 0.769 0.695
Tm 0.103 0.434 0.695
Sm 0.850 0.850 0.451
Tm 0.769 0.103 0.695

=====

Record 2
## CeAsH2Rh (PBE)

Data for a geometry-optimized CeAsH2Rh structure.

Output
- VASP energy: -5.610 eV/atom
- Symmetry: Cmcm
- Calculated density: 8.04 g cm⁻³

Lattice parameters (Å, degrees): 4.004 5.545 6.381 90.00 90.00 111.17
Fractional coordinates of all 10 atoms:
H 0.836 0.673 0.437
Ce 0.286 0.571 0.250
Rh 0.000 0.000 0.500
H 0.164 0.327 0.937
As 0.567 0.133 0.250
Rh 0.000 0.000 0.000
Ce 0.714 0.429 0.750
H 0.164 0.327 0.563
H 0.836 0.673 0.063
As 0.433 0.867 0.750

=====

Record 3
## Nd2DyPu (PBE)

Data for a geometry-optimized Nd2DyPu structure.

Output
- Calculated formation energy: 0.218 eV/atom
- Symmetry: R-3m
- Calculated density: 8.85 g cm⁻³
- Energy above the lowest structure with this stoichiometry: 103.6 meV per atom

Lattice parameters (Å, degrees): 5.692 5.692 5.690 59.99 59.99 60.00
Fractional coordinates of all 4 atoms:
Nd 0.249 0.249 0.252
Pu 0.000 0.000 0.000
Dy 0.500 0.500 0.500
Nd 0.751 0.751 0.748